DFT (PBE with a Hubbard U) results for crystalline MnPN2O at its relaxed geometry.

Unit cell a=3.8459 b=3.8459 c=3.6639 alpha=90.00 beta=90.00 gamma=90.00
Each line ends with the local moment (μB).
Positions (direct):
P1 0.5000 0.5000 0.5000  0.33
N1 0.5000 0.0000 0.0000  -0.59
N2 0.0000 0.5000 0.0000  -0.59
Mn1 0.0000 0.0000 0.0000  3.03
O1 0.0000 0.0000 0.5000  -0.12

Calculated values
- uncorrected energy (Ry/atom) = -0.4289
- spin magnetization (μB per formula unit) = 2.03
- ρ (g cm⁻³) = 3.98